Below is an optimized crystal structure of CsAl3As, with properties calculated at the PBE level.

The formation energy is 1.8642 eV/atom. Its total moment is 0.0 μB/f.u. The total energy comes out at -1.4819 eV/atom.

The space group is Pm-3m (No. 221) and the conventional cell measures 5.880, 5.880 and 5.880 Å, with angles of 90.00, 90.00 and 90.00 degrees. The distinct sites, in fractional coordinates, are Cs at (0.000, 0.000, 0.000), Al at (0.000, 0.000, 0.500) and As at (0.500, 0.500, 0.500).

***

Below is an optimized crystal structure of CsAlAs, with properties calculated at the PBE level.

The formation energy is -0.2421 eV/atom. Its total moment is 0.0 μB/f.u. The total energy comes out at -3.3240 eV/atom.

The space group is P2_1 (No. 4) and the conventional cell measures 7.197, 5.047 and 7.213 Å, with angles of 90.00, 107.07 and 90.00 degrees. The distinct sites, in fractional coordinates, are Cs at (0.186, 0.000, 0.313), Al at (0.398, 0.257, 0.899) and As at (0.309, 0.757, 0.810).